[1]
The following is a PBE calculation of a relaxed Mg2SnSb crystal, from the Alexandria database.

Lattice parameters (Å, degrees): 4.5746 4.5746 6.5963 110.61 110.61 58.97
Atoms (fractional coordinates):
Mg 0.0000 0.0000 0.0000
Mg 0.1766 0.1766 0.5196
Sn 0.7600 0.7600 0.2618
Sb 0.5897 0.5897 0.7634

Computed properties:
Offset from the most stable computed form: 0 meV per atom
ΔE_f (raw): -0.16 eV per atom
Size of the total moment: 0.0 μB per formula unit
Space group: Cm
DFT total energy: -2.9933 eV/atom

***

[2]
The following is a PBE calculation of a relaxed ErMnAgHg crystal, from the Alexandria database.

Lattice parameters (Å, degrees): 4.9037 4.9037 4.9037 60.00 60.00 60.00
Atoms (fractional coordinates):
Er 0.0000 0.0000 0.0000
Mn 0.5000 0.5000 0.5000
Ag 0.7500 0.7500 0.7500
Hg 0.2500 0.2500 0.2500

Computed properties:
Size of the total moment: 4.3 μB per formula unit
Space group: F-43m
DFT total energy: -4.2873 eV/atom
Formation energy: -0.07 eV/atom

***

[3]
The following is a PBE calculation of a relaxed HfNb2TcPb crystal, from the Alexandria database.

Lattice parameters (Å, degrees): 5.1094 5.1094 5.2140 90.00 90.00 90.00
Atoms (fractional coordinates):
Hf 0.0000 0.0000 0.0000
Nb 0.0000 0.5000 0.5000
Nb 0.5000 0.0000 0.5000
Tc 0.5000 0.5000 0.0000
Pb 0.0000 0.0000 0.5000

Computed properties:
Size of the total moment: 1.2 μB per formula unit
Space group: P4/mmm
DFT total energy: -6.5891 eV/atom
Formation energy: 2.24 eV/atom

***

[4]
The following is a PBE calculation of a relaxed ZrZn2Au crystal, from the Alexandria database.

Lattice parameters (Å, degrees): 4.6262 4.6262 4.6262 120.28 120.28 89.51
Atoms (fractional coordinates):
Zr 0.0000 0.0000 0.0000
Zn 0.2500 0.7500 0.5000
Zn 0.5000 0.5000 0.0000
Au 0.7500 0.2500 0.5000

Computed properties:
Size of the total moment: 0.0 μB per formula unit
Space group: I-4m2
DFT total energy: -3.9280 eV/atom
Formation energy: -0.33 eV/atom

***

[5]
The following is a PBE calculation of a relaxed ScIn2Tc crystal, from the Alexandria database.

Lattice parameters (Å, degrees): 3.5833 3.5833 6.2257 90.00 90.00 90.00
Atoms (fractional coordinates):
Sc 0.0000 0.0000 0.0000
In 0.0000 0.0000 0.4494
In 0.5000 0.5000 0.7199
Tc 0.5000 0.5000 0.2045

Computed properties:
Offset from the most stable computed form: 50 meV per atom
Size of the total moment: 0.0 μB per formula unit
Space group: P4mm
DFT total energy: -5.6086 eV/atom
Formation energy: -0.06 eV/atom

***

[6]
The following is a PBE calculation of a relaxed Ce3Sb2Se crystal, from the Alexandria database.

Lattice parameters (Å, degrees): 7.6246 7.6246 7.6246 146.36 131.57 60.26
Atoms (fractional coordinates):
Ce 0.0000 0.0000 0.0000
Ce 0.3423 0.3423 0.0000
Ce 0.6577 0.6577 0.0000
Sb 0.1702 0.6702 0.5000
Sb 0.8298 0.3298 0.5000
Se 0.5000 0.0000 0.5000

Computed properties:
ΔE_f (raw): -1.29 eV per atom
Size of the total moment: 2.9 μB per formula unit
Space group: Immm
DFT total energy: -6.2114 eV/atom

***

[7]
The following is a PBE calculation of a relaxed BaLaAs2 crystal, from the Alexandria database.

Lattice parameters (Å, degrees): 6.5885 6.5885 6.5885 139.92 139.92 57.97
Atoms (fractional coordinates):
Ba 0.0000 0.0000 0.0000
La 0.2500 0.7500 0.5000
As 0.5000 0.5000 0.0000
As 0.7500 0.2500 0.5000

Computed properties:
Offset from the most stable computed form: 301 meV per atom
Size of the total moment: 0.0 μB per formula unit
Space group: I-4m2
DFT total energy: -4.9074 eV/atom
Formation energy: -0.87 eV/atom

***

[8]
The following is a PBE calculation of a relaxed Si2HgW crystal, from the Alexandria database.

Lattice parameters (Å, degrees): 4.9789 4.9789 4.9789 138.87 124.88 71.03
Atoms (fractional coordinates):
Si 0.2434 0.2434 0.0000
Si 0.7566 0.7566 0.0000
Hg 0.5000 0.0000 0.5000
W 0.0000 0.5000 0.5000

Computed properties:
ΔE_f (raw): 0.60 eV per atom
Size of the total moment: 0.0 μB per formula unit
Space group: Immm
DFT total energy: -5.4249 eV/atom

***

[9]
The following is a PBE calculation of a relaxed Sr2TbAgSe4 crystal, from the Alexandria database.

Lattice parameters (Å, degrees): 7.3766 4.2972 7.4729 90.00 110.11 90.00
Atoms (fractional coordinates):
Sr 0.0000 0.0000 0.0000
Sr 0.0000 0.5000 0.5000
Tb 0.5000 0.0000 0.5000
Ag 0.5000 0.5000 0.0000
Se 0.2666 0.5000 0.2656
Se 0.2736 0.0000 0.7513
Se 0.7264 0.0000 0.2487
Se 0.7334 0.5000 0.7344

Computed properties:
ΔE_f (raw): -1.58 eV per atom
Size of the total moment: 0.0 μB per formula unit
Space group: P2/m
DFT total energy: -4.6754 eV/atom

***

[10]
The following is a PBE calculation of a relaxed Nd4HoTh crystal, from the Alexandria database.

Lattice parameters (Å, degrees): 3.6268 6.2994 9.6298 77.29 79.28 73.71
Atoms (fractional coordinates):
Nd 0.1626 0.0048 0.1709
Nd 0.1641 0.5063 0.6643
Nd 0.8359 0.4937 0.3357
Nd 0.8374 0.9952 0.8291
Ho 0.5000 0.5000 0.0000
Th 0.5000 0.0000 0.5000

Computed properties:
Offset from the most stable computed form: 0 meV per atom
Size of the total moment: 0.0 μB per formula unit
Space group: P-1
DFT total energy: -5.1387 eV/atom
Formation energy: 0.04 eV/atom

***

[11]
The following is a PBE calculation of a relaxed LiSmCd3 crystal, from the Alexandria database.

Lattice parameters (Å, degrees): 4.8590 4.8590 4.8590 90.00 90.00 90.00
Atoms (fractional coordinates):
Li 0.0000 0.0000 0.0000
Sm 0.5000 0.5000 0.5000
Cd 0.0000 0.0000 0.5000
Cd 0.0000 0.5000 0.0000
Cd 0.5000 0.0000 0.0000

Computed properties:
Offset from the most stable computed form: 108 meV per atom
Size of the total moment: 0.0 μB per formula unit
Space group: Pm-3m
DFT total energy: -1.9909 eV/atom
Formation energy: -0.12 eV/atom

***

[12]
The following is a PBE calculation of a relaxed LiLuZn2 crystal, from the Alexandria database.

Lattice parameters (Å, degrees): 3.3026 3.3026 6.7385 90.00 90.00 90.00
Atoms (fractional coordinates):
Li 0.0000 0.0000 0.0000
Lu 0.0000 0.0000 0.5000
Zn 0.5000 0.5000 0.2160
Zn 0.5000 0.5000 0.7840

Computed properties:
Offset from the most stable computed form: 10 meV per atom
Size of the total moment: 0.0 μB per formula unit
Space group: P4/mmm
DFT total energy: -2.4622 eV/atom
Formation energy: -0.22 eV/atom